1.
# PmDyTm3 PBE-GGA relaxed
data_PmDyTm3
_cell_length_a 3.5876
_cell_length_b 11.4397
_cell_length_c 8.5266
_cell_angle_alpha 90.00
_cell_angle_beta 102.09
_cell_angle_gamma 90.00
_space_group_name_H-M_alt 'P 1 21/m 1'
_space_group_IT_number 11
loop_
_space_group_symop_operation_xyz
'x,y,z'
'-x,-y,-z'
'-x,y+1/2,-z'
'x,-y+1/2,z'
loop_
_atom_site_label
_atom_site_fract_x
_atom_site_fract_y
_atom_site_fract_z
Pm1 0.0092 0.2500 0.0251
Dy1 0.3140 0.7500 0.6261
Tm1 0.1591 0.5007 0.3175
Tm2 0.3442 0.2500 0.6914
# Excess energy over the best structure of this formula in the dataset, eV/f.u.: 1.119
# ΔH_f (0 K), eV/f.u.: 1.523
# Total energy, eV per atom: -4.25
# Total magnetic moment, μB/atom: 0.00
# DOS(E_F), states/eV/f.u.: 7.61

2.
# K3NpBr8 PBE-GGA relaxed
data_K3NpBr8
_cell_length_a 7.5612
_cell_length_b 7.5612
_cell_length_c 7.5612
_cell_angle_alpha 90.00
_cell_angle_beta 90.00
_cell_angle_gamma 90.00
_space_group_name_H-M_alt 'P m -3 m'
_space_group_IT_number 221
_space_group_name_Hall '-P 4 2 3'
loop_
_atom_site_label
_atom_site_fract_x
_atom_site_fract_y
_atom_site_fract_z
K1 0.0000 0.0000 0.5000
Np1 0.5000 0.5000 0.5000
Br1 0.2760 0.2760 0.2760
# Excess energy over the best structure of this formula in the dataset, eV/f.u.: 0.051
# Total energy, eV per atom: -3.78
# E_form (uncorrected), meV/atom: -1314.4
# Total magnetic moment, μB/atom: 0.19
# DOS(E_F), states/eV/f.u.: 17.70

3.
# NbVCr PBE-GGA relaxed
data_NbVCr
_cell_length_a 3.0712
_cell_length_b 4.5025
_cell_length_c 12.6232
_cell_angle_alpha 90.00
_cell_angle_beta 90.00
_cell_angle_gamma 90.00
_space_group_name_H-M_alt 'F m m 2'
_space_group_IT_number 42
_space_group_name_Hall 'F 2 -2'
loop_
_atom_site_label
_atom_site_fract_x
_atom_site_fract_y
_atom_site_fract_z
Nb1 0.0000 0.0000 0.0000
V1 0.0000 0.0000 0.3165
Cr1 0.0000 0.0000 0.6728
# Excess energy over the best structure of this formula in the dataset, eV/f.u.: 0.511
# ΔH_f (0 K), eV/f.u.: 0.184
# Total energy, eV per atom: -9.54
# Total magnetic moment, μB/atom: 0.00
# DOS(E_F), states/eV/f.u.: 2.85

4.
# Pm5InAu2 PBE-GGA relaxed
data_Pm5InAu2
_cell_length_a 8.3081
_cell_length_b 8.3081
_cell_length_c 13.4041
_cell_angle_alpha 90.00
_cell_angle_beta 90.00
_cell_angle_gamma 90.00
_space_group_name_H-M_alt 'I 4/m c m'
_space_group_IT_number 140
_space_group_name_Hall '-I 4 2c'
loop_
_atom_site_label
_atom_site_fract_x
_atom_site_fract_y
_atom_site_fract_z
Pm1 0.0000 0.0000 0.0000
Pm2 0.1562 0.3438 0.1447
In1 0.0000 0.0000 0.2500
Au1 0.1347 0.3653 0.5000
# ΔH_f (0 K), eV/f.u.: -4.235
# Total energy, eV per atom: -4.66
# Total magnetic moment, μB/atom: 0.00
# DOS(E_F), states/eV/f.u.: 10.15

5.
# YAg3 PBE-GGA relaxed
data_YAg3
_cell_length_a 3.2199
_cell_length_b 3.2199
_cell_length_c 28.4841
_cell_angle_alpha 90.00
_cell_angle_beta 90.00
_cell_angle_gamma 120.00
_space_group_name_H-M_alt 'R -3 m'
_space_group_IT_number 166
_space_group_name_Hall '-R 3 2"'
loop_
_atom_site_label
_atom_site_fract_x
_atom_site_fract_y
_atom_site_fract_z
Y1 0.0000 0.0000 0.0000
Ag1 0.0000 0.0000 0.2446
Ag2 0.0000 0.0000 0.5000
# ΔH_f (0 K), eV/f.u.: 0.283
# Total energy, eV per atom: -3.68
# Total magnetic moment, μB/atom: 0.00
# DOS(E_F), states/eV/f.u.: 2.15

6.
# Ac2PrTmO6 PBE-GGA relaxed
data_Ac2PrTmO6
_cell_length_a 6.0877
_cell_length_b 6.2881
_cell_length_c 10.6761
_cell_angle_alpha 90.00
_cell_angle_beta 124.45
_cell_angle_gamma 90.00
_space_group_name_H-M_alt 'P 1 21/c 1'
_space_group_IT_number 14
loop_
_space_group_symop_operation_xyz
'x,y,z'
'-x,-y,-z'
'-x,y+1/2,-z+1/2'
'x,-y+1/2,z+1/2'
loop_
_atom_site_label
_atom_site_fract_x
_atom_site_fract_y
_atom_site_fract_z
Ac1 0.2353 0.0483 0.2512
Pr1 0.5000 0.0000 0.0000
Tm1 0.0000 0.0000 0.5000
O1 0.1163 0.2049 0.9295
O2 0.2307 0.6891 0.9347
O3 0.3659 0.0584 0.7405
# Total energy, eV per atom: -8.10
# E_form (uncorrected), meV/atom: -3377.4
# Total magnetic moment, μB/atom: 0.00
# DOS(E_F), states/eV/f.u.: 0.00

7.
# Dy2Tm3S8 PBE-GGA relaxed
data_Dy2Tm3S8
_cell_length_a 13.5803
_cell_length_b 7.8331
_cell_length_c 6.6197
_cell_angle_alpha 90.00
_cell_angle_beta 109.98
_cell_angle_gamma 90.00
_space_group_name_H-M_alt 'C 1 2/m 1'
_space_group_IT_number 12
loop_
_space_group_symop_operation_xyz
'x,y,z'
'-x,-y,-z'
'-x,y,-z'
'x,-y,z'
'x+1/2,y+1/2,z'
'-x+1/2,-y+1/2,-z'
'-x+1/2,y+1/2,-z'
'x+1/2,-y+1/2,z'
loop_
_atom_site_label
_atom_site_fract_x
_atom_site_fract_y
_atom_site_fract_z
Dy1 0.2377 0.0000 0.1590
Tm1 0.0000 0.2378 0.5000
Tm2 0.0000 0.5000 0.0000
S1 0.1155 0.5000 0.4261
S2 0.1191 0.0000 0.4145
S3 0.1228 0.2657 0.9132
# Total energy, eV per atom: -6.17
# E_form (uncorrected), meV/atom: -1893.1
# Total magnetic moment, μB/atom: 0.00
# DOS(E_F), states/eV/f.u.: 6.56

8.
# Fe6Ir8Rh PBE-GGA relaxed
data_Fe6Ir8Rh
_cell_length_a 6.5785
_cell_length_b 6.5785
_cell_length_c 17.2536
_cell_angle_alpha 90.00
_cell_angle_beta 90.00
_cell_angle_gamma 120.00
_space_group_name_H-M_alt 'R -3'
_space_group_IT_number 148
_space_group_name_Hall '-R 3'
loop_
_atom_site_label
_atom_site_fract_x
_atom_site_fract_y
_atom_site_fract_z
Fe1 0.0222 0.7827 0.3806
Ir1 0.0000 0.0000 0.2573
Ir2 0.0266 0.2543 0.1292
Rh1 0.0000 0.0000 0.0000
# ΔH_f (0 K), eV/f.u.: 3.604
# Total energy, eV per atom: -8.36
# Total magnetic moment, μB/atom: 1.08
# DOS(E_F), states/eV/f.u.: 17.99

9.
# Li2SiHg2 PBE-GGA relaxed
data_Li2SiHg2
_cell_length_a 7.2946
_cell_length_b 7.2946
_cell_length_c 3.4439
_cell_angle_alpha 90.00
_cell_angle_beta 90.00
_cell_angle_gamma 90.00
_space_group_name_H-M_alt 'P 4/m b m'
_space_group_IT_number 127
_space_group_name_Hall '-P 4 2ab'
loop_
_atom_site_label
_atom_site_fract_x
_atom_site_fract_y
_atom_site_fract_z
Li1 0.1437 0.3563 0.0000
Si1 0.0000 0.0000 0.0000
Hg1 0.1544 0.6544 0.5000
# Excess energy over the best structure of this formula in the dataset, eV/f.u.: 0.292
# Total energy, eV per atom: -1.98
# E_form (uncorrected), meV/atom: -4.8
# Total magnetic moment, μB/atom: 0.00
# DOS(E_F), states/eV/f.u.: 2.33

10.
# PuRe3B3 PBE-GGA relaxed
data_PuRe3B3
_cell_length_a 8.1505
_cell_length_b 8.1505
_cell_length_c 3.0551
_cell_angle_alpha 90.00
_cell_angle_beta 90.00
_cell_angle_gamma 120.00
_space_group_name_H-M_alt 'P 63/m'
_space_group_IT_number 176
_space_group_name_Hall '-P 6c'
loop_
_atom_site_label
_atom_site_fract_x
_atom_site_fract_y
_atom_site_fract_z
Pu1 0.3333 0.6667 0.2500
Re1 0.0722 0.7657 0.7500
B1 0.0401 0.4709 0.7500
# ΔH_f (0 K), eV/f.u.: -1.260
# Total energy, eV per atom: -10.42
# Total magnetic moment, μB/atom: 0.61
# DOS(E_F), states/eV/f.u.: 5.94

11.
# NaIn8Bi2 PBE-GGA relaxed
data_NaIn8Bi2
_cell_length_a 12.9589
_cell_length_b 10.1503
_cell_length_c 5.3871
_cell_angle_alpha 90.00
_cell_angle_beta 99.59
_cell_angle_gamma 90.00
_space_group_name_H-M_alt 'C 1 2/m 1'
_space_group_IT_number 12
loop_
_space_group_symop_operation_xyz
'x,y,z'
'-x,-y,-z'
'-x,y,-z'
'x,-y,z'
'x+1/2,y+1/2,z'
'-x+1/2,-y+1/2,-z'
'-x+1/2,y+1/2,-z'
'x+1/2,-y+1/2,z'
loop_
_atom_site_label
_atom_site_fract_x
_atom_site_fract_y
_atom_site_fract_z
Na1 0.0000 0.0000 0.0000
In1 0.0753 0.2764 0.7919
In2 0.0975 0.5000 0.3159
In3 0.2320 0.5000 0.8775
Bi1 0.1416 0.0000 0.5726
# Excess energy over the best structure of this formula in the dataset, eV/f.u.: 0.885
# ΔH_f (0 K), eV/f.u.: 0.719
# Total energy, eV per atom: -2.75
# Total magnetic moment, μB/atom: 0.00
# DOS(E_F), states/eV/f.u.: 4.97

12.
# NaNd5Pb4 PBE-GGA relaxed
data_NaNd5Pb4
_cell_length_a 18.0280
_cell_length_b 3.7306
_cell_length_c 9.8060
_cell_angle_alpha 90.00
_cell_angle_beta 94.44
_cell_angle_gamma 90.00
_space_group_name_H-M_alt 'C 1 2/m 1'
_space_group_IT_number 12
loop_
_space_group_symop_operation_xyz
'x,y,z'
'-x,-y,-z'
'-x,y,-z'
'x,-y,z'
'x+1/2,y+1/2,z'
'-x+1/2,-y+1/2,-z'
'-x+1/2,y+1/2,-z'
'x+1/2,-y+1/2,z'
loop_
_atom_site_label
_atom_site_fract_x
_atom_site_fract_y
_atom_site_fract_z
Na1 0.0000 0.0000 0.0000
Nd1 0.0000 0.0000 0.5000
Nd2 0.1486 0.5000 0.2183
Nd3 0.1897 0.5000 0.6069
Pb1 0.0358 0.5000 0.7680
Pb2 0.1780 0.0000 0.9189
# ΔH_f (0 K), eV/f.u.: -1.541
# Total energy, eV per atom: -4.15
# Total magnetic moment, μB/atom: 0.00
# DOS(E_F), states/eV/f.u.: 9.64